1.
{"formula": "LiIr2Cl", "functional": "GGA-PBE", "state": "optimized geometry", "cell": [[5.363, 0.005, -0.003], [2.588, 4.697, 0.003], [-3.349, -3.411, 2.431]], "species": ["Li", "Ir", "Ir", "Cl"], "fractional_positions": [[0.478, 0.478, 0.000], [0.780, 0.280, 0.500], [0.013, 0.013, 0.000], [0.229, 0.729, 0.500]], "e_above_lowest_polymorph_mev_per_atom": 572, "magnetic_moment_mub_per_fu": 0.000, "formation_energy_uncorrected_ev_per_atom": 0.494, "dos_ef_per_ev_cell": 4.34}



2.
{"formula": "LiIr2Cl", "functional": "GGA-PBE", "state": "optimized geometry", "cell": [[8.445, 0.013, 0.007], [7.946, 2.858, 0.007], [7.946, 1.392, 2.497]], "species": ["Li", "Ir", "Ir", "Cl"], "fractional_positions": [[0.492, 0.492, 0.492], [0.251, 0.251, 0.251], [0.999, 0.999, 0.999], [0.758, 0.758, 0.758]], "e_above_lowest_polymorph_mev_per_atom": 139, "magnetic_moment_mub_per_fu": 0.509, "formation_energy_uncorrected_ev_per_atom": 0.062, "dos_ef_per_ev_cell": 3.78}